## VIn2Cl2F2 (GGA+U)

Data for a relaxed VIn2Cl2F2 crystal.

Summary:
E_tot	-4.47	eV per atom
density	3.92	g/cm3
SG	No. 12

Lattice parameters (Å, degrees): 12.769 3.753 8.186 90.00 122.81 90.00
Element x y z (fractional)
V (0.000, 0.000, 0.000)
V (0.500, 0.500, 0.000)
In (0.174, 0.000, 0.733)
In (0.326, 0.500, 0.267)
In (0.674, 0.500, 0.733)
In (0.826, 0.000, 0.267)
Cl (0.067, 0.500, 0.248)
Cl (0.433, 0.000, 0.752)
Cl (0.567, 0.000, 0.248)
Cl (0.933, 0.500, 0.752)
F (0.182, 0.000, 0.051)
F (0.318, 0.500, 0.949)
F (0.682, 0.500, 0.051)
F (0.818, 0.000, 0.949)